KSi3Pd, optimized geometry, DFT PBE; total energy = -0.084 Ha/atom; ΔE to the lowest computed polymorph = 1732 meV per atom; formation energy (no corrections) = 2.237 eV per atom; space-group type = Pm-3m
1.0
5.159 0.000 0.000
0.000 5.159 0.000
0.000 0.000 5.159
K Si Pd
1 3 1
direct
0.000 0.000 0.000
0.000 0.000 0.500
0.000 0.500 0.000
0.500 0.000 0.000
0.500 0.500 0.500



KSi6Pd12, optimized geometry, DFT PBE; total energy = -0.208 Ha/atom; formation energy (no corrections) = -0.601 eV per atom; space-group type = R-3m
1.0
5.676 3.277 2.836
-5.676 3.277 2.836
0.000 -6.554 2.836
K Si Pd
1 6 12
direct
0.000 0.000 0.000
0.245 0.245 0.677
0.245 0.677 0.245
0.323 0.755 0.755
0.677 0.245 0.245
0.755 0.323 0.755
0.755 0.755 0.323
0.128 0.500 0.872
0.128 0.872 0.500
0.177 0.448 0.448
0.448 0.177 0.448
0.448 0.448 0.177
0.500 0.128 0.872
0.500 0.872 0.128
0.552 0.552 0.823
0.552 0.823 0.552
0.823 0.552 0.552
0.872 0.128 0.500
0.872 0.500 0.128



KSiPd, optimized geometry, DFT PBE; total energy = -0.149 Ha/atom; ΔE to the lowest computed polymorph = 31 meV per atom; formation energy (no corrections) = -0.156 eV per atom; space-group type = Immm
1.0
3.162 0.000 0.000
0.000 6.119 0.000
0.000 0.000 14.146
K Si Pd
4 4 4
direct
0.000 0.000 0.186
0.000 0.000 0.814
0.500 0.500 0.314
0.500 0.500 0.686
0.000 0.500 0.092
0.000 0.500 0.908
0.500 0.000 0.408
0.500 0.000 0.592
0.000 0.239 0.500
0.000 0.761 0.500
0.500 0.261 0.000
0.500 0.739 0.000



KSiPd, optimized geometry, DFT PBE; total energy = -0.150 Ha/atom; ΔE to the lowest computed polymorph = 11 meV per atom; formation energy (no corrections) = -0.176 eV per atom; space-group type = P-1
1.0
4.289 0.000 0.000
-2.137 6.201 0.000
-2.132 -2.297 5.873
K Si Pd
2 2 2
direct
0.202 0.102 0.299
0.798 0.898 0.701
0.351 0.569 0.128
0.649 0.431 0.872
0.095 0.471 0.723
0.905 0.529 0.277



KSiPd3, optimized geometry, DFT PBE; total energy = -0.169 Ha/atom; ΔE to the lowest computed polymorph = 0 meV per atom; formation energy (no corrections) = -0.167 eV per atom; space-group type = Pm-3m
1.0
4.690 0.000 0.000
0.000 4.690 0.000
0.000 0.000 4.690
K Si Pd
1 1 3
direct
0.000 0.000 0.000
0.500 0.500 0.500
0.000 0.500 0.500
0.500 0.000 0.500
0.500 0.500 0.000



KSi3Pd3, optimized geometry, DFT PBE; total energy = -0.182 Ha/atom; formation energy (no corrections) = -0.253 eV per atom; space-group type = Pm-3n
1.0
6.739 0.000 0.000
0.000 6.739 0.000
0.000 0.000 6.739
K Si Pd
2 6 6
direct
0.000 0.000 0.000
0.500 0.500 0.500
0.000 0.250 0.500
0.000 0.750 0.500
0.250 0.500 0.000
0.500 0.000 0.250
0.500 0.000 0.750
0.750 0.500 0.000
0.000 0.500 0.250
0.000 0.500 0.750
0.250 0.000 0.500
0.500 0.250 0.000
0.500 0.750 0.000
0.750 0.000 0.500



K2Si2Pd, optimized geometry, DFT PBE; total energy = -0.136 Ha/atom; formation energy (no corrections) = -0.061 eV per atom; space-group type = P4/mbm
1.0
6.446 0.000 0.000
0.000 6.446 0.000
0.000 0.000 5.621
K Si Pd
4 4 2
direct
0.187 0.313 0.000
0.313 0.813 0.000
0.687 0.187 0.000
0.813 0.687 0.000
0.130 0.630 0.500
0.370 0.130 0.500
0.630 0.870 0.500
0.870 0.370 0.500
0.000 0.000 0.500
0.500 0.500 0.500



KSi4Pd4, optimized geometry, DFT PBE; total energy = -0.197 Ha/atom; ΔE to the lowest computed polymorph = 0 meV per atom; formation energy (no corrections) = -0.533 eV per atom; space-group type = I4
1.0
-4.231 4.231 2.305
4.231 -4.231 2.305
4.231 4.231 -2.305
K Si Pd
1 4 4
direct
0.000 0.000 0.000
0.081 0.358 0.500
0.358 0.858 0.277
0.581 0.081 0.723
0.858 0.581 0.500
0.154 0.640 0.855
0.299 0.154 0.514
0.640 0.785 0.486
0.785 0.299 0.145



KSiPd3, optimized geometry, DFT PBE; total energy = -0.105 Ha/atom; ΔE to the lowest computed polymorph = 1728 meV per atom; formation energy (no corrections) = 1.561 eV per atom; space-group type = Pm-3m
1.0
4.915 0.000 0.000
0.000 4.915 0.000
0.000 0.000 4.915
K Si Pd
1 1 3
direct
0.000 0.000 0.000
0.500 0.500 0.500
0.000 0.000 0.500
0.000 0.500 0.000
0.500 0.000 0.000



K2SiPd2, optimized geometry, DFT PBE; total energy = -0.138 Ha/atom; ΔE to the lowest computed polymorph = 0 meV per atom; formation energy (no corrections) = -0.162 eV per atom; space-group type = P4/mbm
1.0
6.389 0.000 0.000
0.000 6.389 0.000
0.000 0.000 5.647
K Si Pd
4 2 4
direct
0.177 0.323 0.000
0.323 0.823 0.000
0.677 0.177 0.000
0.823 0.677 0.000
0.000 0.000 0.500
0.500 0.500 0.500
0.156 0.656 0.500
0.344 0.156 0.500
0.656 0.844 0.500
0.844 0.344 0.500



K3SiPd, optimized geometry, DFT PBE; total energy = -0.083 Ha/atom; ΔE to the lowest computed polymorph = 0 meV per atom; formation energy (no corrections) = 0.527 eV per atom; space-group type = Pm-3m
1.0
6.136 0.000 0.000
0.000 6.136 0.000
0.000 0.000 6.136
K Si Pd
3 1 1
direct
0.000 0.000 0.500
0.000 0.500 0.000
0.500 0.000 0.000
0.500 0.500 0.500
0.000 0.000 0.000



KSiPd, optimized geometry, DFT PBE; total energy = -0.150 Ha/atom; ΔE to the lowest computed polymorph = 0 meV per atom; formation energy (no corrections) = -0.187 eV per atom; space-group type = P-6m2
1.0
4.068 0.000 0.000
-2.034 3.523 0.000
0.000 0.000 5.523
K Si Pd
1 1 1
direct
0.000 0.000 0.000
0.667 0.333 0.500
0.333 0.667 0.500



KSr2SiPd, optimized geometry, DFT PBE; total energy = -0.116 Ha/atom; formation energy (no corrections) = -0.135 eV per atom; space-group type = P4/mmm
1.0
6.175 0.000 0.000
0.000 6.175 0.000
0.000 0.000 4.701
K Sr Si Pd
1 2 1 1
direct
0.000 0.000 0.000
0.000 0.500 0.500
0.500 0.000 0.500
0.500 0.500 0.500
0.500 0.500 0.000



K2SrSiPd, optimized geometry, DFT PBE; total energy = -0.101 Ha/atom; formation energy (no corrections) = 0.153 eV per atom; space-group type = P4/mmm
1.0
6.470 0.000 0.000
0.000 6.470 0.000
0.000 0.000 4.594
K Sr Si Pd
2 1 1 1
direct
0.000 0.500 0.000
0.500 0.000 0.000
0.000 0.000 0.500
0.500 0.500 0.000
0.500 0.500 0.500



KTl2SiPd, optimized geometry, DFT PBE; total energy = -0.117 Ha/atom; formation energy (no corrections) = 0.093 eV per atom; space-group type = P4/mmm
1.0
5.572 0.000 0.000
0.000 5.572 0.000
0.000 0.000 4.749
K Tl Si Pd
1 2 1 1
direct
0.000 0.000 0.000
0.000 0.500 0.500
0.500 0.000 0.500
0.500 0.500 0.000
0.500 0.500 0.500



KSmPd4, optimized geometry, DFT PBE; total energy = -0.179 Ha/atom; DFT formation energy = -2.6 eV per formula unit; space-group type = F-43m
1.0
0.000 3.903 3.903
3.903 0.000 3.903
3.903 3.903 0.000
K Sm Pd
1 1 4
direct
0.000 0.000 0.000
0.250 0.250 0.250
0.126 0.625 0.625
0.625 0.126 0.625
0.625 0.625 0.126
0.625 0.625 0.625



KSn2Pd, optimized geometry, DFT PBE; total energy = -0.132 Ha/atom; DFT formation energy = -0.1 eV per formula unit; space-group type = Fm-3m
1.0
7.225 0.000 0.000
0.000 7.225 0.000
0.000 0.000 7.225
K Sn Pd
4 8 4
direct
0.000 0.000 0.000
0.000 0.500 0.500
0.500 0.000 0.500
0.500 0.500 0.000
0.250 0.250 0.250
0.250 0.250 0.750
0.250 0.750 0.250
0.250 0.750 0.750
0.750 0.250 0.250
0.750 0.250 0.750
0.750 0.750 0.250
0.750 0.750 0.750
0.000 0.000 0.500
0.000 0.500 0.000
0.500 0.000 0.000
0.500 0.500 0.500



KSn5Pd2, optimized geometry, DFT PBE; total energy = -0.156 Ha/atom; DFT formation energy = -2.4 eV per formula unit; space-group type = Immm
1.0
4.632 0.000 0.000
0.000 7.881 0.000
0.000 0.000 11.475
K Sn Pd
2 10 4
direct
0.000 0.000 0.000
0.500 0.500 0.500
0.000 0.199 0.349
0.000 0.199 0.651
0.000 0.500 0.000
0.000 0.801 0.349
0.000 0.801 0.651
0.500 0.000 0.500
0.500 0.301 0.151
0.500 0.301 0.849
0.500 0.699 0.151
0.500 0.699 0.849
0.000 0.500 0.230
0.000 0.500 0.770
0.500 0.000 0.270
0.500 0.000 0.730



KSn2Pd, optimized geometry, DFT PBE; total energy = -0.145 Ha/atom; DFT formation energy = -1.4 eV per formula unit; space-group type = Pmmn
1.0
4.442 0.000 0.000
0.000 7.851 0.000
0.000 0.000 6.959
K Sn Pd
2 4 2
direct
0.250 0.250 0.119
0.750 0.750 0.881
0.250 0.050 0.649
0.250 0.450 0.649
0.750 0.550 0.351
0.750 0.950 0.351
0.250 0.750 0.441
0.750 0.250 0.559



KSn2Pd, optimized geometry, DFT PBE; total energy = -0.145 Ha/atom; DFT formation energy = -1.5 eV per formula unit; space-group type = R3m
1.0
4.527 0.000 0.000
-2.263 3.920 0.000
0.000 0.000 20.378
K Sn Pd
3 6 3
direct
0.000 0.000 0.000
0.333 0.667 0.667
0.667 0.333 0.333
0.000 0.000 0.209
0.000 0.000 0.453
0.333 0.667 0.120
0.333 0.667 0.876
0.667 0.333 0.542
0.667 0.333 0.786
0.000 0.000 0.827
0.333 0.667 0.493
0.667 0.333 0.160